## CrGa2Sn (GGA-PBE)

Data for CrGa2Sn after structural relaxation.

Output
space group = I-42d
ΔH_f (0 K) = 506 meV/atom
spin magnetization = 0.00 μB per cell
crystal system = tetragonal

a b c (Å): 7.766 7.766 6.085
angles (deg): 50.35 50.35 90.00
Sites, in units of the cell vectors:
Cr 0.500 0.500 0.000
Cr 0.250 0.750 0.500
Sn 0.000 0.000 0.000
Sn 0.750 0.250 0.500
Ga 0.559 0.125 0.250
Ga 0.191 0.625 0.250
Ga 0.375 0.441 0.750
Ga 0.875 0.809 0.750